Computed, not measured: crystalline CaMnCF2 at its relaxed geometry at the PBE+U level of DFT.

```
CaMnCF2
1.0
4.092 0.000 0.000
0.000 8.530 0.000
0.000 0.000 4.092
F C Ca Mn
2 1 1 1
Cartesian
0.000 0.000 2.046
2.046 0.000 0.000
2.046 4.265 2.046
0.000 0.000 0.000
0.000 4.265 0.000
```

Values from the calculation:
electronic total energy: -25.76 eV for the cell shown
space group: No. 123